First-principles (GGA-PBE) data for a relaxed NaNbW crystal, as listed in Alexandria.

Cell and atoms, written as POSCAR:
```
NaNbW
1.0
2.714 0.000 0.000
0.000 4.802 0.000
-0.605 0.000 9.192
Na Nb W
2 2 2
Cartesian
0.245 1.201 3.790
1.864 3.602 5.401
-0.122 3.602 8.468
2.231 1.201 0.724
1.220 3.602 1.826
0.889 1.201 7.366
```

Mass density ... 8.31 g cm⁻³
Energy above the most stable polymorph in this dataset ... 269 meV per atom
Symmetry ... P2_1/m (11)
Energy relative to the elements ... 1.6 eV/f.u.
DFT total energy ... -7.5778 eV/atom
Crystal system ... monoclinic